# 1
## YPaTeC (PBE)

Data for a relaxed structure of YPaTeC.

a = 7.450 Å, b = 7.450 Å, c = 7.450 Å
α = 29.56°, β = 29.56°, γ = 29.56°
Fractional coordinates of all 4 atoms:
Y: 0.000 0.000 0.000
Pa: 0.212 0.212 0.212
Te: 0.772 0.772 0.772
C: 0.596 0.596 0.596

Output
The calculation puts the formation energy without anion corrections at -3.1 eV/f.u. The space-group type is R3m, No. 160. As for the magnetic moment: 0.0 μB/cell.

---

# 2
## KTl12Pb6 (PBE)

Data for a relaxed structure of KTl12Pb6.

a = 8.724 Å, b = 8.724 Å, c = 8.724 Å
α = 101.86°, β = 101.86°, γ = 101.86°
Fractional coordinates of all 19 atoms:
K: 0.000 0.000 0.000
Tl: 0.000 0.264 0.737
Tl: 0.000 0.736 0.263
Tl: 0.187 0.586 0.585
Tl: 0.263 0.000 0.736
Tl: 0.264 0.737 0.000
Tl: 0.414 0.415 0.813
Tl: 0.415 0.813 0.414
Tl: 0.585 0.187 0.586
Tl: 0.586 0.585 0.187
Tl: 0.736 0.263 0.000
Tl: 0.737 0.000 0.264
Tl: 0.813 0.414 0.415
Pb: 0.179 0.180 0.428
Pb: 0.180 0.428 0.179
Pb: 0.428 0.179 0.180
Pb: 0.572 0.821 0.820
Pb: 0.820 0.572 0.821
Pb: 0.821 0.820 0.572

Output
The space-group type is R-3, No. 148. As for the magnetic moment: 0.0 μB/cell. The value obtained for the energy of formation is 0.04 eV per atom.

---

# 3
## Tb3Sn4 (PBE)

Data for a relaxed structure of Tb3Sn4.

a = 6.146 Å, b = 6.146 Å, c = 15.551 Å
α = 90.00°, β = 90.00°, γ = 138.52°
Fractional coordinates of all 14 atoms:
Tb: 0.061 0.939 0.750
Tb: 0.336 0.664 0.598
Tb: 0.336 0.664 0.902
Tb: 0.664 0.336 0.098
Tb: 0.664 0.336 0.402
Tb: 0.939 0.061 0.250
Sn: 0.000 0.000 0.000
Sn: 0.000 0.000 0.500
Sn: 0.205 0.795 0.250
Sn: 0.374 0.626 0.108
Sn: 0.374 0.626 0.392
Sn: 0.626 0.374 0.608
Sn: 0.626 0.374 0.892
Sn: 0.795 0.205 0.750

Output
The space-group type is Cmcm, No. 63. As for the magnetic moment: 0.0 μB/cell. The value obtained for the energy of formation is -0.67 eV per atom.

---

# 4
## Cr2SiTcW (PBE)

Data for a relaxed structure of Cr2SiTcW.

a = 4.508 Å, b = 4.508 Å, c = 4.759 Å
α = 90.00°, β = 90.00°, γ = 90.00°
Fractional coordinates of all 5 atoms:
Cr: 0.000 0.500 0.000
Cr: 0.500 0.000 0.000
Si: 0.000 0.000 0.500
Tc: 0.500 0.500 0.000
W: 0.500 0.500 0.500

Output
The calculation puts the formation energy without anion corrections at 8.2 eV/f.u. The space-group type is P4/mmm, No. 123. As for the magnetic moment: 4.4 μB/cell.

---

# 5
## Pu2InB2Ru5 (PBE)

Data for a relaxed structure of Pu2InB2Ru5.

a = 9.774 Å, b = 9.774 Å, c = 3.134 Å
α = 90.00°, β = 90.00°, γ = 90.00°
Fractional coordinates of all 20 atoms:
Pu: 0.177 0.323 0.000
Pu: 0.323 0.823 0.000
Pu: 0.677 0.177 0.000
Pu: 0.823 0.677 0.000
In: 0.000 0.000 0.000
In: 0.500 0.500 0.000
B: 0.121 0.621 0.000
B: 0.379 0.121 0.000
B: 0.621 0.879 0.000
B: 0.879 0.379 0.000
Ru: 0.000 0.500 0.500
Ru: 0.071 0.774 0.500
Ru: 0.226 0.071 0.500
Ru: 0.274 0.571 0.500
Ru: 0.429 0.274 0.500
Ru: 0.500 0.000 0.500
Ru: 0.571 0.726 0.500
Ru: 0.726 0.429 0.500
Ru: 0.774 0.929 0.500
Ru: 0.929 0.226 0.500

Output
The space-group type is P4/mbm, No. 127. As for the magnetic moment: 15.6 μB/cell. The value obtained for the energy of formation is -0.31 eV per atom.

---

# 6
## Sr2LaGePt (PBE)

Data for a relaxed structure of Sr2LaGePt.

a = 5.807 Å, b = 5.807 Å, c = 5.750 Å
α = 90.00°, β = 90.00°, γ = 90.00°
Fractional coordinates of all 5 atoms:
Sr: 0.000 0.500 0.000
Sr: 0.500 0.000 0.000
La: 0.000 0.000 0.500
Ge: 0.000 0.000 0.000
Pt: 0.500 0.500 0.500

Output
The space-group type is P4/mmm, No. 123. As for the magnetic moment: 0.0 μB/cell. The value obtained for the energy of formation is -0.01 eV per atom.

---

# 7
## Zn3CrAu12 (PBE)

Data for a relaxed structure of Zn3CrAu12.

a = 4.113 Å, b = 4.113 Å, c = 16.360 Å
α = 90.00°, β = 90.00°, γ = 90.00°
Fractional coordinates of all 16 atoms:
Zn: 0.000 0.000 0.000
Zn: 0.000 0.000 0.250
Zn: 0.000 0.000 0.750
Cr: 0.000 0.000 0.500
Au: 0.000 0.500 0.125
Au: 0.000 0.500 0.375
Au: 0.000 0.500 0.625
Au: 0.000 0.500 0.875
Au: 0.500 0.000 0.125
Au: 0.500 0.000 0.375
Au: 0.500 0.000 0.625
Au: 0.500 0.000 0.875
Au: 0.500 0.500 0.000
Au: 0.500 0.500 0.249
Au: 0.500 0.500 0.500
Au: 0.500 0.500 0.751

Output
The space-group type is P4/mmm, No. 123. As for the magnetic moment: 4.4 μB/cell. The value obtained for the energy of formation is -0.07 eV per atom.

---

# 8
## MnFeSe2N (PBE)

Data for a relaxed structure of MnFeSe2N.

a = 4.918 Å, b = 4.918 Å, c = 3.401 Å
α = 90.00°, β = 90.00°, γ = 90.00°
Fractional coordinates of all 5 atoms:
Mn: 0.000 0.000 0.000
Fe: 0.500 0.500 0.500
Se: 0.000 0.500 0.500
Se: 0.500 0.000 0.500
N: 0.500 0.500 0.000

Output
The calculation puts the formation energy without anion corrections at 1.4 eV/f.u. The space-group type is P4/mmm, No. 123. As for the magnetic moment: 4.1 μB/cell.

---

# 9
## PuAl2AgAu4 (PBE)

Data for a relaxed structure of PuAl2AgAu4.

a = 9.542 Å, b = 9.542 Å, c = 9.542 Å
α = 26.96°, β = 26.96°, γ = 26.96°
Fractional coordinates of all 8 atoms:
Pu: 0.000 0.000 0.000
Al: 0.241 0.241 0.241
Al: 0.759 0.759 0.759
Ag: 0.500 0.500 0.500
Au: 0.122 0.122 0.122
Au: 0.395 0.395 0.395
Au: 0.605 0.605 0.605
Au: 0.878 0.878 0.878

Output
The space-group type is R-3m, No. 166. As for the magnetic moment: 5.6 μB/cell. The value obtained for the energy of formation is -0.31 eV per atom.

---

# 10
## PtW2Se (PBE)

Data for a relaxed structure of PtW2Se.

a = 9.092 Å, b = 9.092 Å, c = 9.092 Å
α = 18.70°, β = 18.70°, γ = 18.70°
Fractional coordinates of all 4 atoms:
Pt: 0.000 0.000 0.000
W: 0.500 0.500 0.500
W: 0.746 0.746 0.746
Se: 0.236 0.236 0.236

Output
The calculation puts the formation energy without anion corrections at 0.7 eV/f.u. The space-group type is R3m, No. 160. As for the magnetic moment: 0.0 μB/cell.

---

# 11
## In4CoPb (PBE)

Data for a relaxed structure of In4CoPb.

a = 6.041 Å, b = 6.041 Å, c = 6.041 Å
α = 60.00°, β = 60.00°, γ = 60.00°
Fractional coordinates of all 6 atoms:
In: 0.376 0.376 0.376
In: 0.376 0.376 0.873
In: 0.376 0.873 0.376
In: 0.873 0.376 0.376
Co: 0.750 0.750 0.750
Pb: 0.000 0.000 0.000

Output
The space-group type is F-43m, No. 216. As for the magnetic moment: 2.0 μB/cell. The value obtained for the energy of formation is 0.54 eV per atom.

---

# 12
## TaRe (PBE)

Data for a relaxed structure of TaRe.

a = 4.547 Å, b = 4.547 Å, c = 7.888 Å
α = 90.00°, β = 90.00°, γ = 120.00°
Fractional coordinates of all 8 atoms:
Ta: 0.333 0.667 0.076
Ta: 0.333 0.667 0.424
Ta: 0.667 0.333 0.576
Ta: 0.667 0.333 0.924
Re: 0.000 0.000 0.250
Re: 0.000 0.000 0.750
Re: 0.333 0.667 0.750
Re: 0.667 0.333 0.250

Output
The space-group type is P6_3/mmc, No. 194. As for the magnetic moment: 0.0 μB/cell. The value obtained for the energy of formation is 0.33 eV per atom.

---

Q: What is the formula in the fifth record?
A: Pu2InB2Ru5

---

Q: Which value of magnetic moment does entry 11 give?
A: 2.0 μB/cell